[1]
First-principles (PBE) data for crystalline PrNd6Dy2Mg at its relaxed geometry, as listed in Alexandria via LeMat-Bulk.

Summary:
Raw total energy: -4.32 eV/atom
Formation enthalpy at 0 K: 0.102 eV per atom
Total magnetization: 0.000 μB/atom

CIF file:
```
data_PrNd6Dy2Mg
_space_group_name_H-M_alt 'C 1 2/c 1'
_space_group_IT_number 15
_cell_length_a 10.4308
_cell_length_b 13.8116
_cell_length_c 9.5597
_cell_angle_alpha 90.00
_cell_angle_beta 101.00
_cell_angle_gamma 90.00
loop_
_space_group_symop_operation_xyz
'x,y,z'
'-x,-y,-z'
'-x,y,-z+1/2'
'x,-y,z+1/2'
'x+1/2,y+1/2,z'
'-x+1/2,-y+1/2,-z'
'-x+1/2,y+1/2,-z+1/2'
'x+1/2,-y+1/2,z+1/2'
loop_
_atom_site_label
_atom_site_type_symbol
_atom_site_fract_x
_atom_site_fract_y
_atom_site_fract_z
Pr1 Pr 0.0000 0.0643 0.2500
Nd1 Nd 0.0538 0.3823 0.0959
Nd2 Nd 0.0925 0.1711 0.9254
Nd3 Nd 0.2484 0.2147 0.3291
Dy1 Dy 0.2355 0.0333 0.5943
Mg1 Mg 0.0000 0.4014 0.7500
```

---

[2]
First-principles (PBE) data for crystalline InW at its relaxed geometry, as listed in Alexandria via LeMat-Bulk.

Summary:
E above lowest polymorph: 98 meV per atom
Raw total energy: -7.35 eV/atom
Formation enthalpy at 0 K: 0.500 eV per atom
Total magnetization: 0.000 μB/atom

CIF file:
```
data_InW
_space_group_name_H-M_alt 'I 4/m m m'
_space_group_IT_number 139
_space_group_name_Hall '-I 4 2'
_cell_length_a 8.2196
_cell_length_b 8.2196
_cell_length_c 4.7907
_cell_angle_alpha 90.00
_cell_angle_beta 90.00
_cell_angle_gamma 90.00
loop_
_atom_site_label
_atom_site_type_symbol
_atom_site_fract_x
_atom_site_fract_y
_atom_site_fract_z
In1 In 0.0000 0.2784 0.0000
W1 W 0.1596 0.1596 0.5000
```

---

[3]
First-principles (PBE) data for crystalline HfPd3Pt at its relaxed geometry, as listed in Alexandria via LeMat-Bulk.

Summary:
E above lowest polymorph: 1449 meV per atom
Raw total energy: -5.53 eV/atom
Formation enthalpy at 0 K: 0.786 eV per atom
Total magnetization: 0.000 μB/atom

CIF file:
```
data_HfPd3Pt
_space_group_name_H-M_alt 'P m -3 m'
_space_group_IT_number 221
_space_group_name_Hall '-P 4 2 3'
_cell_length_a 4.7697
_cell_length_b 4.7697
_cell_length_c 4.7697
_cell_angle_alpha 90.00
_cell_angle_beta 90.00
_cell_angle_gamma 90.00
loop_
_atom_site_label
_atom_site_type_symbol
_atom_site_fract_x
_atom_site_fract_y
_atom_site_fract_z
Hf1 Hf 0.0000 0.0000 0.0000
Pd1 Pd 0.0000 0.0000 0.5000
Pt1 Pt 0.5000 0.5000 0.5000
```

---

[4]
First-principles (PBE) data for crystalline GaMoH3 at its relaxed geometry, as listed in Alexandria via LeMat-Bulk.

Summary:
E above lowest polymorph: 0 meV per atom
Raw total energy: -4.46 eV/atom
Total magnetization: 0.000 μB/atom

CIF file:
```
data_GaMoH3
_space_group_name_H-M_alt 'P m -3 m'
_space_group_IT_number 221
_space_group_name_Hall '-P 4 2 3'
_cell_length_a 3.5435
_cell_length_b 3.5435
_cell_length_c 3.5435
_cell_angle_alpha 90.00
_cell_angle_beta 90.00
_cell_angle_gamma 90.00
loop_
_atom_site_label
_atom_site_type_symbol
_atom_site_fract_x
_atom_site_fract_y
_atom_site_fract_z
Ga1 Ga 0.0000 0.0000 0.0000
Mo1 Mo 0.5000 0.5000 0.5000
H1 H 0.0000 0.5000 0.5000
```

---

[5]
First-principles (PBE) data for crystalline K3Np2S7 at its relaxed geometry, as listed in Alexandria via LeMat-Bulk.

Summary:
Raw total energy: -5.98 eV/atom
ΔE_f (raw): -1141 meV per atom
Total magnetization: 0.249 μB/atom

CIF file:
```
data_K3Np2S7
_space_group_name_H-M_alt 'C m m m'
_space_group_IT_number 65
_space_group_name_Hall '-C 2 2'
_cell_length_a 5.1898
_cell_length_b 25.7161
_cell_length_c 5.1406
_cell_angle_alpha 90.00
_cell_angle_beta 90.00
_cell_angle_gamma 90.00
loop_
_atom_site_label
_atom_site_type_symbol
_atom_site_fract_x
_atom_site_fract_y
_atom_site_fract_z
K1 K 0.0000 0.0000 0.0000
K2 K 0.0000 0.1846 0.0000
Np1 Np 0.0000 0.3992 0.5000
S1 S 0.0000 0.0986 0.5000
S2 S 0.0000 0.3041 0.5000
S3 S 0.0000 0.4012 0.0000
S4 S 0.0000 0.5000 0.5000
```

---

[6]
First-principles (PBE) data for crystalline Ca2MgGe3Ir4 at its relaxed geometry, as listed in Alexandria via LeMat-Bulk.

Summary:
Raw total energy: -6.10 eV/atom
Formation enthalpy at 0 K: -0.612 eV per atom
Total magnetization: 0.000 μB/atom

CIF file:
```
data_Ca2MgGe3Ir4
_space_group_name_H-M_alt 'P -4 m 2'
_space_group_IT_number 115
_cell_length_a 4.1775
_cell_length_b 4.1775
_cell_length_c 10.6599
_cell_angle_alpha 90.00
_cell_angle_beta 90.00
_cell_angle_gamma 90.00
loop_
_space_group_symop_operation_xyz
'x,y,z'
'y,-x,-z'
'-x,-y,z'
'-y,x,-z'
'-x,y,z'
'-y,-x,-z'
'x,-y,z'
'y,x,-z'
loop_
_atom_site_label
_atom_site_type_symbol
_atom_site_fract_x
_atom_site_fract_y
_atom_site_fract_z
Ca1 Ca 0.0000 0.5000 0.2448
Mg1 Mg 0.0000 0.0000 0.5000
Ge1 Ge 0.0000 0.5000 0.8734
Ge2 Ge 0.5000 0.5000 0.5000
Ir1 Ir 0.0000 0.0000 0.0000
Ir2 Ir 0.0000 0.5000 0.6427
Ir3 Ir 0.5000 0.5000 0.0000
```